## Ba4Nb3O10 (PBE)

Data for an optimized crystal structure of Ba4Nb3O10.

Uncorrected energy = -134.0 eV/cell
Energy relative to the elements, uncorrected = -2.7365 eV/atom
Crystal system = tetragonal
D(E_F) = 5.556 states/eV/cell

a b c (Å): 4.1643 4.1643 15.3117
angles (deg): 97.82 97.82 90.00
Closest atoms and distances in Å follow each position.
Fractional positions:
O (0.5000, 0.0000, 0.0000)  2 Nb 2.08
O (0.9303, 0.9303, 0.8607)  2 Nb 2.05-2.09
Ba (0.5681, 0.5681, 0.1363)  12 O 2.92-2.96
Ba (0.7025, 0.7025, 0.4051)  9 O 2.72-2.95
O (0.0697, 0.0697, 0.1393)  2 Nb 2.05-2.09
O (0.8619, 0.3619, 0.7238)  2 Nb 2.08
O (0.2070, 0.2070, 0.4141)  1 Nb 2.07
O (0.6381, 0.1381, 0.2762)  2 Nb 2.08
Ba (0.2975, 0.2975, 0.5949)  9 O 2.72-2.95
O (0.3619, 0.8619, 0.7238)  2 Nb 2.08
O (0.0000, 0.5000, 0.0000)  2 Nb 2.08
Nb (0.8620, 0.8620, 0.7240)  6 O 2.05-2.08
O (0.1381, 0.6381, 0.2762)  2 Nb 2.08
Ba (0.4319, 0.4319, 0.8637)  12 O 2.92-2.96
O (0.7930, 0.7930, 0.5859)  1 Nb 2.07
Nb (0.0000, 0.0000, 0.0000)  6 O 2.08-2.09
Nb (0.1380, 0.1380, 0.2760)  6 O 2.05-2.08